[1]
# ScCrInW2, relaxed, DFT PBE-GGA
data_ScCrInW2
_chemical_formula_sum 'Sc1 Cr1 In1 W2'
_cell_length_a 4.7389
_cell_length_b 4.7389
_cell_length_c 4.3468
_cell_angle_alpha 90.00
_cell_angle_beta 90.00
_cell_angle_gamma 90.00
_space_group_name_H-M_alt 'P 4/m m m'
_space_group_IT_number 123
_space_group_name_Hall '-P 4 2'
loop_
_atom_site_label
_atom_site_type_symbol
_atom_site_fract_x
_atom_site_fract_y
_atom_site_fract_z
Sc1 Sc 0.0000 0.0000 0.0000
Cr1 Cr 0.0000 0.0000 0.5000
In1 In 0.5000 0.5000 0.5000
W1 W 0.0000 0.5000 0.0000
# formation energy from the elements = 2073 meV per atom
# E = -6.847 eV per atom


[2]
# YScCrIn2, relaxed, DFT PBE-GGA
data_YScCrIn2
_chemical_formula_sum 'Y1 Sc1 Cr1 In2'
_cell_length_a 5.7021
_cell_length_b 5.7021
_cell_length_c 5.2152
_cell_angle_alpha 90.00
_cell_angle_beta 90.00
_cell_angle_gamma 90.00
_space_group_name_H-M_alt 'P 4/m m m'
_space_group_IT_number 123
_space_group_name_Hall '-P 4 2'
loop_
_atom_site_label
_atom_site_type_symbol
_atom_site_fract_x
_atom_site_fract_y
_atom_site_fract_z
Y1 Y 0.0000 0.0000 0.0000
Sc1 Sc 0.0000 0.0000 0.5000
Cr1 Cr 0.5000 0.5000 0.5000
In1 In 0.0000 0.5000 0.0000
# formation energy from the elements = 1191 meV per atom
# E = -4.388 eV per atom


[3]
# ScZnCr2In, relaxed, DFT PBE-GGA
data_ScZnCr2In
_chemical_formula_sum 'Sc1 Zn1 Cr2 In1'
_cell_length_a 4.7576
_cell_length_b 4.7576
_cell_length_c 4.8690
_cell_angle_alpha 90.00
_cell_angle_beta 90.00
_cell_angle_gamma 90.00
_space_group_name_H-M_alt 'P 4/m m m'
_space_group_IT_number 123
_space_group_name_Hall '-P 4 2'
loop_
_atom_site_label
_atom_site_type_symbol
_atom_site_fract_x
_atom_site_fract_y
_atom_site_fract_z
Sc1 Sc 0.0000 0.0000 0.0000
Zn1 Zn 0.5000 0.5000 0.5000
Cr1 Cr 0.0000 0.5000 0.5000
In1 In 0.5000 0.5000 0.0000
# formation energy from the elements = 788 meV per atom
# E = -5.130 eV per atom


[4]
# CrIn2Se, relaxed, DFT PBE-GGA
data_CrIn2Se
_chemical_formula_sum 'Cr4 In8 Se4'
_cell_length_a 8.1105
_cell_length_b 8.1105
_cell_length_c 5.8813
_cell_angle_alpha 90.00
_cell_angle_beta 90.00
_cell_angle_gamma 90.00
_space_group_name_H-M_alt 'I -4 2 d'
_space_group_IT_number 122
_space_group_name_Hall 'I -4 2bw'
loop_
_atom_site_label
_atom_site_type_symbol
_atom_site_fract_x
_atom_site_fract_y
_atom_site_fract_z
Cr1 Cr 0.0000 0.0000 0.0000
In1 In 0.2454 0.2500 0.6250
Se1 Se 0.0000 0.0000 0.5000
# E_form (uncorrected) = 0.18 eV/atom
# E = -4.461 eV per atom


[5]
# CrIn2Se, relaxed, DFT PBE-GGA
data_CrIn2Se
_chemical_formula_sum 'Cr2 In4 Se2'
_cell_length_a 10.6552
_cell_length_b 3.3059
_cell_length_c 5.6879
_cell_angle_alpha 90.00
_cell_angle_beta 113.31
_cell_angle_gamma 90.00
_space_group_name_H-M_alt 'C 1 m 1'
_space_group_IT_number 8
_space_group_name_Hall 'C -2y'
loop_
_atom_site_label
_atom_site_type_symbol
_atom_site_fract_x
_atom_site_fract_y
_atom_site_fract_z
Cr1 Cr 0.0000 0.0000 0.0000
In1 In 0.0390 0.5000 0.4434
In2 In 0.2421 0.5000 0.0753
Se1 Se 0.3584 0.0000 0.6973
# E_form (uncorrected) = 0.05 eV/atom
# E = -4.600 eV per atom


[6]
# CrInSe2, relaxed, DFT PBE-GGA
data_CrInSe2
_chemical_formula_sum 'Cr4 In4 Se8'
_cell_length_a 6.9800
_cell_length_b 6.9800
_cell_length_c 6.9800
_cell_angle_alpha 90.00
_cell_angle_beta 90.00
_cell_angle_gamma 90.00
_space_group_name_H-M_alt 'F -4 3 m'
_space_group_IT_number 216
_space_group_name_Hall 'F -4 2 3'
loop_
_atom_site_label
_atom_site_type_symbol
_atom_site_fract_x
_atom_site_fract_y
_atom_site_fract_z
Cr1 Cr 0.0000 0.0000 0.0000
In1 In 0.2500 0.2500 0.7500
Se1 Se 0.0000 0.0000 0.5000
Se2 Se 0.2500 0.2500 0.2500
# E_form (uncorrected) = 0.37 eV/atom
# E = -4.467 eV per atom